# 1
{"formula": "Tb3Te3H2", "functional": "PBE", "state": "relaxed", "lattice": [[-0.9096, -2.2644, -3.1753], [-0.3577, -3.2437, 4.9409], [-15.7378, 4.1235, 1.5679]], "species": ["Tb", "Tb", "Tb", "Tb", "Tb", "Tb", "Te", "Te", "Te", "Te", "Te", "Te", "H", "H", "H", "H"], "frac_coords": [[0.6543, 0.3086, 0.4369], [0.3457, 0.6914, 0.9369], [0.6543, 0.3086, 0.0631], [0.3457, 0.6914, 0.5631], [0.3784, 0.7567, 0.2500], [0.6216, 0.2433, 0.7500], [0.9398, 0.8795, 0.3949], [0.0602, 0.1205, 0.8949], [0.9398, 0.8795, 0.1051], [0.0602, 0.1205, 0.6051], [0.6662, 0.3324, 0.2500], [0.3338, 0.6676, 0.7500], [0.7681, 0.5363, 0.9527], [0.2319, 0.4637, 0.4527], [0.7681, 0.5363, 0.5473], [0.2319, 0.4637, 0.0473]], "final_energy_ry_per_atom": -0.357, "mass_density_g_cm3": 7.85}


# 2
{"formula": "Tb4Te5H", "functional": "PBE", "state": "relaxed", "lattice": [[-2.8163, -2.2824, 2.4913], [-4.1968, -5.3218, -9.6196], [7.3219, -3.1642, 1.4951]], "species": ["Tb", "Tb", "Tb", "Tb", "Te", "Te", "Te", "Te", "Te", "H"], "frac_coords": [[0.3571, 0.9237, 0.7142], [0.9918, 0.6705, 0.9836], [0.6429, 0.0763, 0.2858], [0.0082, 0.3295, 0.0164], [0.8252, 0.7343, 0.6505], [0.8529, 0.1105, 0.7058], [0.1471, 0.8895, 0.2942], [0.5000, 0.5000, 0.0000], [0.1748, 0.2657, 0.3495], [0.5000, 0.0000, 0.0000]], "final_energy_ry_per_atom": -0.354, "mass_density_g_cm3": 5.50}


# 3
{"formula": "Tb5Te2H", "functional": "PBE", "state": "relaxed", "lattice": [[-2.3583, -2.6194, 1.3832], [6.6413, -1.8933, 2.5557], [-2.6296, 9.8160, 14.1052]], "species": ["Tb", "Tb", "Tb", "Tb", "Tb", "Tb", "Tb", "Tb", "Tb", "Tb", "Te", "Te", "Te", "Te", "H", "H"], "frac_coords": [[0.7943, 0.5886, 0.8411], [0.7943, 0.5886, 0.6589], [0.3653, 0.7305, 0.4880], [0.3653, 0.7305, 0.0120], [0.8925, 0.7851, 0.2500], [0.1075, 0.2149, 0.7500], [0.6347, 0.2695, 0.5120], [0.6347, 0.2695, 0.9880], [0.2057, 0.4114, 0.1589], [0.2057, 0.4114, 0.3411], [0.0075, 0.0150, 0.3984], [0.0075, 0.0150, 0.1016], [0.9925, 0.9850, 0.6016], [0.9925, 0.9850, 0.8984], [0.6808, 0.3616, 0.7500], [0.3192, 0.6384, 0.2500]], "final_energy_ry_per_atom": -0.339, "mass_density_g_cm3": 7.45}


# 4
{"formula": "TbThH", "functional": "PBE", "state": "relaxed", "lattice": [[-3.1092, 0.8851, -1.0351], [-0.4822, -3.1281, -1.2265], [-0.5242, -0.6569, 6.5785]], "species": ["H", "Tb", "Th"], "frac_coords": [[0.2221, 0.2221, 0.4442], [0.7420, 0.7420, 0.4841], [0.0359, 0.0359, 0.0717]], "final_energy_ry_per_atom": -0.381, "mass_density_g_cm3": 9.14, "relative_energy_ev_per_fu": 0.34}


# 5
{"formula": "TbThH", "functional": "PBE", "state": "relaxed", "lattice": [[3.6019, 0.0000, 0.0000], [-1.8010, 3.1193, 0.0000], [0.0000, 0.0000, 5.8663]], "species": ["H", "Tb", "Th"], "frac_coords": [[0.3333, 0.6667, 0.6757], [0.0000, 0.0000, 0.9117], [0.6667, 0.3333, 0.4126]], "final_energy_ry_per_atom": -0.390, "mass_density_g_cm3": 9.88, "relative_energy_ev_per_fu": 0.00}


# 6
{"formula": "Tb2ThH", "functional": "PBE", "state": "relaxed", "lattice": [[3.3875, 0.0000, 0.0000], [0.0000, 3.3875, 0.0000], [0.0000, 0.0000, 8.4653]], "species": ["H", "Tb", "Tb", "Th"], "frac_coords": [[0.5000, 0.5000, 0.0000], [0.0000, 0.0000, 0.8051], [0.0000, 0.0000, 0.1949], [0.5000, 0.5000, 0.5000]], "final_energy_ry_per_atom": -0.358, "mass_density_g_cm3": 9.42, "relative_energy_ev_per_fu": 1.24}


Number 1: size of the total moment 0.0000 μB per atom. Number 2: size of the total moment 0.0000 μB per atom. Number 3: size of the total moment 0.0000 μB per atom. Number 4: size of the total moment 0.0000 μB per atom. Number 5: size of the total moment 0.0000 μB per atom. Number 6: size of the total moment 0.0000 μB per atom.